# 1
An optimized crystal structure of BaCdS2, computed with PBE.

Summary:
E (eV per cell): -64.33

a = 6.430 Å, b = 12.686 Å, c = 6.380 Å
α = 90.00°, β = 90.15°, γ = 90.00°
Space group P2_1/c (No. 14)
One atom of each set of equivalent atoms:
Ba  0.063  0.117  0.252 (multiplicity 4)
Cd  0.367  0.689  0.638 (multiplicity 4)
S  0.010  0.631  0.751 (multiplicity 4)
S  0.454  0.631  0.277 (multiplicity 4)

***

# 2
An optimized crystal structure of Sn3GePd4, computed with PBE.

Summary:
E (eV per cell): -41.37

a = 6.136 Å, b = 3.885 Å, c = 6.418 Å
α = 90.00°, β = 90.29°, γ = 90.00°
Space group Pm (No. 6)
One atom of each set of equivalent atoms:
Sn  0.000  0.000  0.000 (multiplicity 1)
Sn  0.118  0.500  0.491 (multiplicity 1)
Sn  0.621  0.500  0.809 (multiplicity 1)
Ge  0.498  0.000  0.313 (multiplicity 1)
Pd  0.311  0.500  0.104 (multiplicity 1)
Pd  0.319  0.000  0.714 (multiplicity 1)
Pd  0.782  0.500  0.220 (multiplicity 1)
Pd  0.809  0.000  0.579 (multiplicity 1)

***

# 3
An optimized crystal structure of Dy2Al5Cu5, computed with PBE.

Summary:
E (eV per cell): -51.74

a = 4.104 Å, b = 5.269 Å, c = 8.985 Å
α = 90.00°, β = 90.00°, γ = 90.00°
Space group Pmmm (No. 47)
One atom of each set of equivalent atoms:
Dy  0.000  0.000  0.000 (multiplicity 1)
Dy  0.000  0.500  0.500 (multiplicity 1)
Al  0.500  0.000  0.500 (multiplicity 1)
Al  0.500  0.251  0.239 (multiplicity 4)
Cu  0.000  0.000  0.333 (multiplicity 2)
Cu  0.000  0.500  0.166 (multiplicity 2)
Cu  0.500  0.500  0.000 (multiplicity 1)